# Nd2HoZr, relaxed, DFT PBE
data_Nd2HoZr
_space_group_name_H-M_alt 'R 3 m'
_space_group_IT_number 160
_space_group_name_Hall 'R 3 -2"'
_cell_length_a 3.5084
_cell_length_b 3.5084
_cell_length_c 34.2709
_cell_angle_alpha 90.00
_cell_angle_beta 90.00
_cell_angle_gamma 120.00
loop_
_atom_site_label
_atom_site_type_symbol
_atom_site_fract_x
_atom_site_fract_y
_atom_site_fract_z
Nd1 Nd 0.0000 0.0000 0.0000
Nd2 Nd 0.0000 0.0000 0.1755
Ho1 Ho 0.0000 0.0000 0.7553
Zr1 Zr 0.0000 0.0000 0.5873
# ΔE_f ... 0.13 eV/atom